First-principles (meta-GGA SCAN) data for a crystal of Ca2AgSe relaxed with PBEsol, as listed in Alexandria via LeMat-Bulk.

POSCAR file:
```
Ca2AgSe
1.0
-3.007 1.505 1.538
1.067 -2.321 4.358
2.740 3.988 1.453
Ca Ag Se
2 1 1
Direct
0.000 0.500 0.000
0.000 0.000 0.500
0.500 0.000 0.000
0.500 0.500 0.500
```

Output
Formation energy from raw total energies = -1019 meV/atom
Crystal system = tetragonal
Magnetization = 0.00 μB/atom